TbDySiAu, relaxed, DFT GGA-PBE; uncorrected energy = -5.14 eV/atom; E_form (uncorrected) = -0.66 eV per atom; magnetization = 0.4 μB per formula unit
1.0
5.0565 0.0000 0.0000
2.5282 4.3790 0.0000
2.5282 1.4597 4.1286
Si Au Tb Dy
1 1 1 1
Direct
0.7500 0.7500 0.7500
0.2500 0.2500 0.2500
0.0000 0.0000 0.0000
0.5000 0.5000 0.5000

SmDyAu4, relaxed, DFT GGA-PBE; uncorrected energy = -4.57 eV/atom; magnetization = 0.0 μB per formula unit
1.0
3.7510 -0.4805 -0.1741
0.4725 3.7519 -0.1741
0.4672 0.3617 9.1229
Au Sm Dy
4 1 1
Direct
0.0003 0.0003 0.6689
0.9997 0.9997 0.3311
0.5002 0.5002 0.1617
0.4998 0.4998 0.8383
0.5000 0.5000 0.5000
0.0000 0.0000 0.0000

SmDy4Au2, relaxed, DFT GGA-PBE; uncorrected energy = -4.50 eV/atom; magnetization = 0.6 μB per formula unit
1.0
-4.0597 1.4375 2.3198
-0.2791 -0.3285 4.8727
2.4182 9.8906 3.2607
Au Dy Sm
2 4 1
Direct
0.3978 0.3978 0.8067
0.6022 0.6022 0.1933
0.2991 0.2991 0.1028
0.8982 0.8982 0.3053
0.7009 0.7009 0.8972
0.1018 0.1018 0.6947
0.5000 0.5000 0.5000

Sm2DyAu, relaxed, DFT GGA-PBE; uncorrected energy = -4.58 eV/atom; magnetization = 0.0 μB per formula unit; relative energy among the computed polymorphs = 0.162 eV/atom
1.0
-0.1597 3.6857 -0.2115
-1.4396 1.6182 -2.9939
-9.7651 1.6179 3.2897
Dy Sm Au
1 2 1
Direct
0.5000 0.5000 0.5000
0.2613 0.2613 0.2160
0.7387 0.7387 0.7840
0.0000 0.0000 0.0000

- What is the uncorrected energy in the second record?
  -4.57 eV/atom

What did the fourth record say?
Sm2DyAu, relaxed, DFT GGA-PBE; uncorrected energy = -4.58 eV/atom; magnetization = 0.0 μB per formula unit; relative energy among the computed polymorphs = 0.162 eV/atom
1.0
-0.1597 3.6857 -0.2115
-1.4396 1.6182 -2.9939
-9.7651 1.6179 3.2897
Dy Sm Au
1 2 1
Direct
0.5000 0.5000 0.5000
0.2613 0.2613 0.2160
0.7387 0.7387 0.7840
0.0000 0.0000 0.0000